This record from Alexandria describes a relaxed structure of Pm3Mg2Rh2. The functional is PBE.

final energy: -5.01 eV/atom
SG: C2/m
density of states at the Fermi level: 0.605 states/eV per atom
DFT formation energy: -422 meV per atom

Cell lengths 6.4436, 6.4436, 8.5355 Å; angles 114.68, 114.68, 33.09 degrees
Closest atoms and distances in Å follow each position.
Fractional coordinates of all 7 atoms:
Pm1 0.0000 0.0000 0.0000  4 Rh 2.92
Pm2 0.1145 0.1145 0.4439  3 Rh 2.80-2.93
Pm3 0.8855 0.8855 0.5561  3 Rh 2.80-2.93
Mg1 0.3262 0.3262 0.1689  2 Rh 2.77
Mg2 0.6738 0.6738 0.8311  2 Rh 2.77
Rh1 0.3174 0.3174 0.7665  2 Mg 2.77, 5 Pm 2.80-2.93
Rh2 0.6826 0.6826 0.2335  2 Mg 2.77, 5 Pm 2.80-2.93


This record from Alexandria describes a relaxed structure of PrSmAlPd. The functional is PBE.

final energy: -5.16 eV/atom
SG: Amm2
density of states at the Fermi level: 1.044 states/eV per atom
E above lowest polymorph: 0.000 eV/atom
DFT formation energy: -553 meV per atom

Cell lengths 4.3216, 5.8155, 5.8155 Å; angles 45.24, 90.00, 90.00 degrees
Closest atoms and distances in Å follow each position.
Fractional coordinates of all 4 atoms:
Pr1 0.0000 0.0000 0.0000  3 Pd 2.99-3.26, 4 Al 3.24
Sm1 0.5000 0.7107 0.7107  3 Al 3.14-3.16, 4 Pd 3.19
Al1 0.5000 0.4160 0.4160  2 Pd 2.62
Pd1 0.0000 0.2786 0.2786  2 Al 2.62


This record from Alexandria describes a relaxed structure of BeAuF. The functional is PBE.

final energy: -4.14 eV/atom
SG: Pnnm
formation energy (no corrections): -1.182 eV/atom
density of states at the Fermi level: 0.003 states/eV per atom

Cell lengths 4.9316, 12.2927, 3.0756 Å; angles 90.00, 90.00, 90.00 degrees
Closest atoms and distances in Å follow each position.
Fractional coordinates of all 12 atoms:
Be1 0.0526 0.1646 0.0000  1 F 1.45
Be2 0.4474 0.6646 0.5000  1 F 1.45
Be3 0.5526 0.3354 0.5000  1 F 1.45
Be4 0.9474 0.8354 0.0000  1 F 1.45
Au1 0.2047 0.3427 0.0000  3 Be 2.31
Au2 0.2953 0.8427 0.5000  3 Be 2.31
Au3 0.7047 0.1573 0.5000  3 Be 2.31
Au4 0.7953 0.6573 0.0000  3 Be 2.31
F1 0.2478 0.5782 0.5000  1 Be 1.45
F2 0.2522 0.0782 0.0000  1 Be 1.45
F3 0.7478 0.9218 0.0000  1 Be 1.45
F4 0.7522 0.4218 0.5000  1 Be 1.45


This record from Alexandria describes a relaxed structure of TcAs2SeS. The functional is PBE.

final energy: -4.89 eV/atom
SG: P4/mmm
formation energy (no corrections): 0.563 eV/atom
density of states at the Fermi level: 0.730 states/eV per atom
E above lowest polymorph: 0.000 eV/atom

Cell lengths 4.8847, 4.8847, 4.6367 Å; angles 90.00, 90.00, 90.00 degrees
Closest atoms and distances in Å follow each position.
Fractional coordinates of all 5 atoms:
Tc1 0.0000 0.0000 0.0000  2 Se 2.32, 4 As 2.44
As1 0.0000 0.5000 0.0000  2 Tc 2.44
As2 0.5000 0.0000 0.0000  2 Tc 2.44
Se1 0.0000 0.0000 0.5000  2 Tc 2.32
S1 0.5000 0.5000 0.5000  8 As 3.37, 4 Se 3.45


This record from Alexandria describes a relaxed structure of InFePCl2. The functional is PBE.

final energy: -4.17 eV/atom
SG: P4/mmm
formation energy (no corrections): -0.108 eV/atom
density of states at the Fermi level: 0.745 states/eV per atom
E above lowest polymorph: 0.000 eV/atom

Cell lengths 5.0781, 5.0781, 4.3810 Å; angles 90.00, 90.00, 90.00 degrees
Closest atoms and distances in Å follow each position.
Fractional coordinates of all 5 atoms:
In1 0.0000 0.0000 0.0000  8 Cl 3.35, 4 P 3.59
Fe1 0.5000 0.5000 0.5000  2 P 2.19
P1 0.5000 0.5000 0.0000  2 Fe 2.19
Cl1 0.0000 0.5000 0.5000  2 Fe 2.54
Cl2 0.5000 0.0000 0.5000  2 Fe 2.54


This record from Alexandria describes a relaxed structure of Pm2ThNi6. The functional is PBE.

final energy: -6.10 eV/atom
SG: P6/mmm
density of states at the Fermi level: 1.396 states/eV per atom
DFT formation energy: -364 meV per atom

Cell lengths 7.0642, 7.0642, 3.8041 Å; angles 90.00, 90.00, 120.00 degrees
Closest atoms and distances in Å follow each position.
Fractional coordinates of all 9 atoms:
Pm1 0.3333 0.6667 0.0000  12 Ni 3.03
Pm2 0.6667 0.3333 0.0000  12 Ni 3.03
Th1 0.0000 0.0000 0.0000  12 Ni 3.02
Ni1 0.0000 0.3317 0.5000  3 Ni 2.34-2.38
Ni2 0.0000 0.6683 0.5000  3 Ni 2.34-2.38
Ni3 0.3317 0.0000 0.5000  3 Ni 2.34-2.38
Ni4 0.3317 0.3317 0.5000  3 Ni 2.34-2.38
Ni5 0.6683 0.0000 0.5000  3 Ni 2.34-2.38
Ni6 0.6683 0.6683 0.5000  3 Ni 2.34-2.38


This record from Alexandria describes a relaxed structure of K2Y2Al. The functional is PBE.

final energy: -3.18 eV/atom
SG: I4/mmm
density of states at the Fermi level: 1.066 states/eV per atom
E above lowest polymorph: 0.170 eV/atom
DFT formation energy: 596 meV per atom

Cell lengths 10.5023, 10.5023, 10.5023 Å; angles 156.89, 156.89, 32.91 degrees
Closest atoms and distances in Å follow each position.
Fractional coordinates of all 5 atoms:
K1 0.2500 0.7500 0.5000  4 K 2.98
K2 0.7500 0.2500 0.5000  4 K 2.98
Y1 0.0769 0.0769 0.0000  1 Y 3.10, 4 Al 3.35
Y2 0.9231 0.9231 0.0000  1 Y 3.10, 4 Al 3.35
Al1 0.5000 0.5000 0.0000  8 Y 3.35


This record from Alexandria describes a relaxed structure of La2ZrScH. The functional is PBE.

final energy: -5.67 eV/atom
SG: P4/mmm
density of states at the Fermi level: 1.001 states/eV per atom
E above lowest polymorph: 0.000 eV/atom

Cell lengths 5.0126, 5.0126, 4.7419 Å; angles 90.00, 90.00, 90.00 degrees
Closest atoms and distances in Å follow each position.
Fractional coordinates of all 5 atoms:
La1 0.0000 0.5000 0.0000  2 H 2.51
La2 0.5000 0.0000 0.0000  2 H 2.51
Zr1 0.0000 0.0000 0.5000  8 La 3.45, 4 Sc 3.54
Sc1 0.5000 0.5000 0.5000  2 H 2.37
H1 0.5000 0.5000 0.0000  2 Sc 2.37, 4 La 2.51


This record from Alexandria describes a relaxed structure of La3HfSi. The functional is PBE.

final energy: -5.63 eV/atom
SG: Pm-3m
formation energy (no corrections): 0.399 eV/atom
density of states at the Fermi level: 3.150 states/eV per atom
E above lowest polymorph: 0.000 eV/atom

Cell lengths 5.6515, 5.6515, 5.6515 Å; angles 90.00, 90.00, 90.00 degrees
Closest atoms and distances in Å follow each position.
Fractional coordinates of all 5 atoms:
La1 0.0000 0.0000 0.5000  2 Si 2.83
La2 0.0000 0.5000 0.0000  2 Si 2.83
La3 0.5000 0.0000 0.0000  2 Si 2.83
Hf1 0.5000 0.5000 0.5000  12 La 4.00
Si1 0.0000 0.0000 0.0000  6 La 2.83


This record from Alexandria describes a relaxed structure of ReAsPS2. The functional is PBE.

final energy: -4.56 eV/atom
SG: P4/mmm
formation energy (no corrections): 1.588 eV/atom
density of states at the Fermi level: 0.932 states/eV per atom
E above lowest polymorph: 0.939 eV/atom

Cell lengths 4.5009, 4.5009, 4.5377 Å; angles 90.00, 90.00, 90.00 degrees
Closest atoms and distances in Å follow each position.
Fractional coordinates of all 5 atoms:
Re1 0.0000 0.0000 0.0000  4 P 3.18, 8 S 3.20
As1 0.5000 0.5000 0.5000  4 S 2.25, 2 P 2.27
P1 0.5000 0.5000 0.0000  2 As 2.27
S1 0.0000 0.5000 0.5000  2 As 2.25
S2 0.5000 0.0000 0.5000  2 As 2.25


Q: Which value of density of states at the Fermi level does entry 7 give?
A: 1.066 states/eV per atom